The following is a DFT calculation (PBE) of a geometry-optimized CaPm3Pt2 structure.

Cell: 4.8742 8.9642 7.4497 Å, 90.00 90.00 90.00°
Positions (direct):
Ca  0.0000  0.0824  0.0000
Ca  0.0000  0.9176  0.5000
Pm  0.0000  0.3323  0.6328
Pm  0.0000  0.6677  0.1328
Pm  0.5000  0.1678  0.3429
Pm  0.5000  0.4163  0.9794
Pm  0.5000  0.5837  0.4794
Pm  0.5000  0.8322  0.8429
Pt  0.0000  0.3477  0.2397
Pt  0.0000  0.6523  0.7397
Pt  0.5000  0.1623  0.7363
Pt  0.5000  0.8377  0.2363

Computed properties:
- ΔE to the lowest computed polymorph (meV per atom) = 0
- space group = No. 26
- density of states at the Fermi level (states/eV per atom) = 0.80
- uncorrected energy (eV/atom) = -5.550